1.
Below is an optimized crystal structure of Si2TcRu, with properties calculated at the PBE level.

Uncorrected energy = -7.927 eV/atom
Formation energy without anion corrections = -305 meV per atom

a = 7.892 Å, b = 7.892 Å, c = 7.892 Å
α = 20.76°, β = 20.76°, γ = 20.76°
Sites, in units of the cell vectors:
Si  0.498  0.498  0.498
Tc  0.250  0.250  0.250
Ru  0.750  0.750  0.750
Si  0.002  0.002  0.002

=====

2.
Below is an optimized crystal structure of Si2TcRu, with properties calculated at the PBE level.

Uncorrected energy = -7.645 eV/atom
Formation energy without anion corrections = -23 meV per atom

a = 2.743 Å, b = 2.743 Å, c = 7.582 Å
α = 90.00°, β = 90.00°, γ = 90.00°
Sites, in units of the cell vectors:
Si  0.000  0.000  0.972
Ru  0.500  0.500  0.746
Si  0.500  0.500  0.271
Tc  0.000  0.000  0.511

=====

3.
Below is an optimized crystal structure of Si2TcRu, with properties calculated at the PBE level.

Uncorrected energy = -7.933 eV/atom
Formation energy without anion corrections = -311 meV per atom

a = 4.150 Å, b = 4.150 Å, c = 5.027 Å
α = 78.73°, β = 78.73°, γ = 39.78°
Sites, in units of the cell vectors:
Si  0.001  0.001  0.991
Si  0.499  0.499  0.509
Ru  0.750  0.750  0.750
Tc  0.250  0.250  0.250

=====

4.
Below is an optimized crystal structure of Si4TcRu3, with properties calculated at the PBE level.

Uncorrected energy = -8.084 eV/atom
Formation energy without anion corrections = -598 meV per atom

a = 2.941 Å, b = 2.941 Å, c = 11.802 Å
α = 90.00°, β = 90.00°, γ = 90.00°
Sites, in units of the cell vectors:
Ru  0.500  0.500  0.253
Ru  0.500  0.500  0.500
Tc  0.500  0.500  0.000
Si  0.000  0.000  0.123
Si  0.000  0.000  0.877
Si  0.000  0.000  0.626
Ru  0.500  0.500  0.747
Si  0.000  0.000  0.374

=====

5.
Below is an optimized crystal structure of SiTcRu2, with properties calculated at the PBE level.

Uncorrected energy = -8.659 eV/atom
Formation energy without anion corrections = -74 meV per atom

a = 4.513 Å, b = 4.513 Å, c = 2.787 Å
α = 90.00°, β = 90.00°, γ = 104.31°
Sites, in units of the cell vectors:
Ru  0.500  0.500  0.000
Si  0.500  0.000  0.500
Tc  0.000  0.500  0.500
Ru  0.000  0.000  0.000

=====

6.
Below is an optimized crystal structure of Si2TcRu, with properties calculated at the PBE level.

Uncorrected energy = -7.999 eV/atom
Formation energy without anion corrections = -377 meV per atom

a = 4.424 Å, b = 2.890 Å, c = 4.201 Å
α = 90.00°, β = 90.00°, γ = 90.00°
Sites, in units of the cell vectors:
Tc  0.000  0.375  0.518
Si  0.000  0.875  0.028
Si  0.500  0.375  0.217
Ru  0.500  0.875  0.736

=====

7.
Below is an optimized crystal structure of Si2TcRu, with properties calculated at the PBE level.

Uncorrected energy = -7.879 eV/atom
Formation energy without anion corrections = -258 meV per atom

a = 3.791 Å, b = 2.833 Å, c = 5.158 Å
α = 89.95°, β = 90.00°, γ = 90.00°
Sites, in units of the cell vectors:
Si  0.000  0.752  0.015
Ru  0.500  0.750  0.750
Tc  0.500  0.250  0.250
Si  0.000  0.748  0.485

=====

8.
Below is an optimized crystal structure of SiTcRu2, with properties calculated at the PBE level.

Uncorrected energy = -8.853 eV/atom
Formation energy without anion corrections = -268 meV per atom

a = 5.045 Å, b = 5.045 Å, c = 5.045 Å
α = 146.79°, β = 128.88°, γ = 62.33°
Sites, in units of the cell vectors:
Tc  0.750  0.250  0.500
Si  0.250  0.750  0.500
Ru  0.473  0.473  0.000
Ru  0.027  0.027  0.000